# 1
Crystalline LaFe2 at its relaxed geometry. Source: Alexandria via LeMat-Bulk, functional PBE.

Cell and atoms, written as extended XYZ:
```
6
Lattice="3.714 0.000 0.000 -1.857 3.216 0.000 0.000 0.000 10.718" Properties=species:S:1:pos:R:3 pbc="T T T"
La 0.000 2.144 1.711
La 1.857 1.072 9.006
Fe 0.000 2.144 4.657
Fe 0.000 2.144 7.105
Fe 1.857 1.072 3.613
Fe 1.857 1.072 6.061
```

Summary:
Energy relative to the elements in eV/atom: 0.5425



# 2
Crystalline La3Fe at its relaxed geometry. Source: Alexandria via LeMat-Bulk, functional PBE.

Cell and atoms, written as extended XYZ:
```
4
Lattice="3.601 0.000 0.000 0.000 3.601 0.000 0.000 0.000 9.205" Properties=species:S:1:pos:R:3 pbc="T T T"
La 0.000 0.000 0.000
La 1.801 1.801 2.901
La 1.801 1.801 6.304
Fe 0.000 0.000 4.602
```

Summary:
Energy relative to the elements in eV/atom: 0.1587



# 3
Crystalline La3Fe at its relaxed geometry. Source: Alexandria via LeMat-Bulk, functional PBE.

Cell and atoms, written as extended XYZ:
```
8
Lattice="3.721 0.000 0.000 0.000 10.691 0.000 0.000 0.000 5.934" Properties=species:S:1:pos:R:3 pbc="T T T"
La 0.000 0.000 0.000
La 0.000 1.918 3.014
La 0.000 8.773 3.014
La 1.860 3.428 0.047
La 1.860 5.345 2.967
La 1.860 7.263 0.047
Fe 0.000 5.345 0.300
Fe 1.860 0.000 3.268
```

Summary:
Energy relative to the elements in eV/atom: 0.1467



# 4
Crystalline LaFe at its relaxed geometry. Source: Alexandria via LeMat-Bulk, functional PBE.

Cell and atoms, written as extended XYZ:
```
8
Lattice="5.853 0.000 0.000 0.000 5.853 0.000 0.000 0.000 5.853" Properties=species:S:1:pos:R:3 pbc="T T T"
La 0.000 0.000 0.000
La 0.000 2.927 2.927
La 2.927 0.000 2.927
La 2.927 2.927 0.000
Fe 0.000 0.000 2.927
Fe 0.000 2.927 0.000
Fe 2.927 0.000 0.000
Fe 2.927 2.927 2.927
```

Summary:
Energy relative to the elements in eV/atom: 0.6005



# 5
Crystalline LaFe2 at its relaxed geometry. Source: Alexandria via LeMat-Bulk, functional PBE.

Cell and atoms, written as extended XYZ:
```
12
Lattice="3.598 0.000 0.000 0.000 18.133 0.000 0.000 0.000 3.607" Properties=species:S:1:pos:R:3 pbc="T T T"
La 0.000 2.880 0.902
La 0.000 15.254 2.705
La 1.799 6.187 2.705
La 1.799 11.946 0.902
Fe 0.000 0.738 2.705
Fe 0.000 8.333 2.705
Fe 0.000 9.801 0.902
Fe 0.000 17.395 0.902
Fe 1.799 0.734 0.902
Fe 1.799 8.329 0.902
Fe 1.799 9.804 2.705
Fe 1.799 17.399 2.705
```

Summary:
Energy relative to the elements in eV/atom: 0.2889



# 6
Crystalline La2Fe at its relaxed geometry. Source: Alexandria via LeMat-Bulk, functional PBE.

Cell and atoms, written as extended XYZ:
```
9
Lattice="7.187 0.000 0.000 -3.594 6.225 0.000 0.000 0.000 5.246" Properties=species:S:1:pos:R:3 pbc="T T T"
La -1.081 1.873 0.000
La -2.258 3.911 2.623
La 2.162 0.000 0.000
La 1.336 2.313 2.623
La 4.516 0.000 2.623
La 2.513 4.352 0.000
Fe 0.000 0.000 2.623
Fe 0.000 4.150 0.000
Fe 3.594 2.075 0.000
```

Summary:
Energy relative to the elements in eV/atom: 0.1374



# 7
Crystalline La3Fe at its relaxed geometry. Source: Alexandria via LeMat-Bulk, functional PBE.

Cell and atoms, written as extended XYZ:
```
16
Lattice="7.608 0.000 0.000 0.000 7.608 0.000 0.000 0.000 7.608" Properties=species:S:1:pos:R:3 pbc="T T T"
La 0.000 0.000 0.000
La 0.000 3.804 3.804
La 1.902 1.902 1.902
La 1.902 1.902 5.706
La 1.902 5.706 1.902
La 1.902 5.706 5.706
La 3.804 0.000 3.804
La 3.804 3.804 0.000
La 5.706 1.902 1.902
La 5.706 1.902 5.706
La 5.706 5.706 1.902
La 5.706 5.706 5.706
Fe 0.000 0.000 3.804
Fe 0.000 3.804 0.000
Fe 3.804 0.000 0.000
Fe 3.804 3.804 3.804
```

Summary:
Energy relative to the elements in eV/atom: 0.3760



# 8
Crystalline LaFe at its relaxed geometry. Source: Alexandria via LeMat-Bulk, functional PBE.

Cell and atoms, written as extended XYZ:
```
4
Lattice="3.502 0.000 0.000 0.000 3.502 0.000 0.000 0.000 7.985" Properties=species:S:1:pos:R:3 pbc="T T T"
La 0.876 0.876 1.625
La 2.627 2.627 6.360
Fe 0.876 2.627 3.992
Fe 2.627 0.876 3.992
```

Summary:
Energy relative to the elements in eV/atom: 0.3111



# 9
Crystalline La2Fe at its relaxed geometry. Source: Alexandria via LeMat-Bulk, functional PBE.

Cell and atoms, written as extended XYZ:
```
12
Lattice="7.204 0.000 0.000 0.000 7.204 0.000 0.000 0.000 6.243" Properties=species:S:1:pos:R:3 pbc="T T T"
La 1.333 2.269 0.000
La 1.333 4.935 3.121
La 2.269 1.333 3.121
La 2.269 5.871 0.000
La 4.935 1.333 0.000
La 4.935 5.871 3.121
La 5.871 2.269 3.121
La 5.871 4.935 0.000
Fe 0.000 0.000 1.561
Fe 0.000 0.000 4.682
Fe 3.602 3.602 1.561
Fe 3.602 3.602 4.682
```

Summary:
Energy relative to the elements in eV/atom: 0.1902



# 10
Crystalline LaFe at its relaxed geometry. Source: Alexandria via LeMat-Bulk, functional PBE.

Cell and atoms, written as extended XYZ:
```
2
Lattice="3.697 0.000 0.000 -1.849 3.202 0.000 0.000 0.000 4.102" Properties=species:S:1:pos:R:3 pbc="T T T"
La 0.000 0.000 0.000
Fe 1.849 1.067 2.051
```

Summary:
Energy relative to the elements in eV/atom: 0.6153



# 11
Crystalline La2Fe at its relaxed geometry. Source: Alexandria via LeMat-Bulk, functional PBE.

Cell and atoms, written as extended XYZ:
```
12
Lattice="3.480 0.000 0.000 0.000 3.480 0.000 0.000 0.000 28.243" Properties=species:S:1:pos:R:3 pbc="T T T"
La 0.000 0.870 8.904
La 0.000 0.870 12.278
La 0.000 2.610 15.965
La 0.000 2.610 19.339
La 1.740 0.870 1.843
La 1.740 0.870 5.218
La 1.740 2.610 23.025
La 1.740 2.610 26.400
Fe 0.000 0.870 24.713
Fe 0.000 2.610 3.530
Fe 1.740 0.870 17.652
Fe 1.740 2.610 10.591
```

Summary:
Energy relative to the elements in eV/atom: 0.1884



# 12
Crystalline LaFe at its relaxed geometry. Source: Alexandria via LeMat-Bulk, functional PBE.

Cell and atoms, written as extended XYZ:
```
8
Lattice="5.952 0.000 0.000 0.000 5.952 0.000 0.000 0.000 5.638" Properties=species:S:1:pos:R:3 pbc="T T T"
La 1.169 1.169 0.000
La 1.808 4.145 2.819
La 4.145 1.808 2.819
La 4.784 4.784 0.000
Fe 0.807 0.807 2.819
Fe 2.169 3.784 0.000
Fe 3.784 2.169 0.000
Fe 5.145 5.145 2.819
```

Summary:
Energy relative to the elements in eV/atom: 0.3981



Which of these has the lowest energy relative to the elements?
number 6